The following is a PBE with a Hubbard U calculation of a geometry-optimized Mn2PO structure, from the Alexandria database.

Space-group type: I-42d, No. 122
Excess energy over the best structure of this formula in the dataset, meV/atom: 0

Unit cell a=5.8244 b=5.8244 c=5.7057 alpha=59.31 beta=59.31 gamma=90.00
Closest atoms and distances in Å follow each position.
Fractional coordinates of all 8 atoms:
Mn 0.8750 0.8178 0.7500  2 O 2.09
Mn 0.1822 0.6250 0.2500  2 O 2.09
Mn 0.3750 0.4322 0.7500  2 O 2.09
P 0.0000 0.0000 0.0000  4 Mn 2.51
O 0.5000 0.5000 0.0000  4 Mn 2.09
O 0.2500 0.7500 0.5000  4 Mn 2.09
Mn 0.5678 0.1250 0.2500  2 O 2.09
P 0.7500 0.2500 0.5000  4 Mn 2.51